SiTe2AuN PBE-GGA optimized geometry; energy above the lowest structure with this stoichiometry = 0.845 eV/atom; E_form (uncorrected) = 1.1302 eV per atom; DOS at the Fermi energy = 3.4 states/eV/f.u.; total DFT energy (no corrections) = -3.532 eV/atom; SG = P4/mmm (123)
1.0
5.622 0.000 0.000
0.000 5.622 0.000
0.000 0.000 3.875
Si Te Au N
1 2 1 1
Direct
0.500 0.500 0.500 Si
0.000 0.500 0.000 Te
0.500 0.000 0.000 Te
0.000 0.000 0.000 Au
0.000 0.000 0.500 N

Ho2NbAl PBE-GGA optimized geometry; DOS at the Fermi energy = 6.2 states/eV/f.u.; energy relative to the elements = 422 meV per atom; total DFT energy (no corrections) = -5.320 eV/atom; SG = R-3m (166)
1.0
-1.715 -1.539 -2.207
1.448 -1.939 -2.080
-1.424 -9.540 5.454
Nb Ho Al
1 2 1
Direct
0.000 0.000 0.000 Nb
0.091 0.091 0.726 Ho
0.909 0.909 0.274 Ho
0.500 0.500 0.500 Al